VASP calculation (PBE) on Sc2AlIn2 after structural relaxation.

extended XYZ file:
```
10
Lattice="7.2974 0.0000 0.0000 0.0000 7.2974 0.0000 0.0000 0.0000 4.4320" Properties=species:S:1:pos:R:3 pbc="T T T"
Sc 2.5481 6.1968 0.0000
Sc 1.1006 2.5481 0.0000
Sc 6.1968 4.7493 0.0000
Sc 4.7493 1.1006 0.0000
In 2.5178 1.1308 2.2160
In 6.1665 2.5178 2.2160
In 4.7795 6.1665 2.2160
In 1.1308 4.7795 2.2160
Al 3.6487 3.6487 0.0000
Al 0.0000 0.0000 0.0000
```

Computed properties:
electronic total energy: -4.517 eV/atom